Entry 1:
## CdSb2As (PBE-GGA)

Data for crystalline CdSb2As at its relaxed geometry. Values from VASP.

Summary:
formation energy without anion corrections	85	meV/atom
total moment	0.00	μB/cell
E	-3.37	eV/atom
V	106	Å³ per cell
energy relative to the lowest polymorph listed for this composition	42	meV per atom
space group	No. 25

```
&SYSTEM
  ibrav = 0, nat = 4, ntyp = 3
/
ATOMIC_SPECIES
Cd 112.41 Cd.upf
Sb 121.76 Sb.upf
As 74.92 As.upf
CELL_PARAMETERS angstrom
4.064 0.000 0.000
0.000 4.361 0.000
0.000 0.000 6.001
ATOMIC_POSITIONS crystal
Cd 0.000 0.000 0.000
Sb 0.000 0.000 0.492
Sb 0.500 0.500 0.957
As 0.500 0.500 0.508
```

=====

Entry 2:
## Ga2Ni9As (PBE-GGA)

Data for crystalline Ga2Ni9As at its relaxed geometry. Values from VASP.

Summary:
total moment	0.87	μB/cell
E	-5.49	eV/atom
V	138	Å³ per cell
calculated formation energy	-3.19	eV/f.u.
space group	No. 123

```
&SYSTEM
  ibrav = 0, nat = 12, ntyp = 3
/
ATOMIC_SPECIES
Ga 69.72 Ga.upf
Ni 58.69 Ni.upf
As 74.92 As.upf
CELL_PARAMETERS angstrom
3.577 0.000 0.000
0.000 3.577 0.000
0.000 0.000 10.786
ATOMIC_POSITIONS crystal
Ga 0.000 0.000 0.164
Ga 0.000 0.000 0.836
Ni 0.000 0.500 0.000
Ni 0.000 0.500 0.334
Ni 0.000 0.500 0.666
Ni 0.500 0.000 0.000
Ni 0.500 0.000 0.334
Ni 0.500 0.000 0.666
Ni 0.500 0.500 0.168
Ni 0.500 0.500 0.500
Ni 0.500 0.500 0.832
As 0.000 0.000 0.500
```